Record 1
{
  "formula": "Hf2SiP",
  "functional": "GGA-PBE",
  "state": "relaxed",
  "e_above_lowest_polymorph_mev_per_atom": 839,
  "cell": [[-2.950, 2.950, 5.962], [2.950, -2.950, 5.962], [2.950, 2.950, -5.962]],
  "species": ["Hf", "Hf", "Hf", "Hf", "Si", "Si", "P", "P"],
  "fractional_positions": [[0.117, 0.625, 0.992], [0.375, 0.367, 0.492], [0.633, 0.125, 0.008], [0.875, 0.883, 0.508], [0.250, 0.750, 0.500], [0.500, 0.500, 0.000], [0.000, 0.000, 0.000], [0.750, 0.250, 0.500]]
}

Record 2
{
  "formula": "HfSi3P",
  "functional": "GGA-PBE",
  "state": "relaxed",
  "e_above_lowest_polymorph_mev_per_atom": 598,
  "cell": [[5.050, 0.000, 0.000], [0.000, 5.050, 0.000], [0.000, 0.000, 5.050]],
  "species": ["Hf", "Si", "Si", "Si", "P"],
  "fractional_positions": [[0.000, 0.000, 0.000], [0.000, 0.000, 0.500], [0.000, 0.500, 0.000], [0.500, 0.000, 0.000], [0.500, 0.500, 0.500]]
}

Record 3
{
  "formula": "Hf2Si2P",
  "functional": "GGA-PBE",
  "state": "relaxed",
  "cell": [[6.914, 0.000, 0.000], [0.000, 6.914, 0.000], [0.000, 0.000, 3.815]],
  "species": ["Hf", "Hf", "Hf", "Hf", "Si", "Si", "Si", "Si", "P", "P"],
  "fractional_positions": [[0.180, 0.320, 0.000], [0.320, 0.820, 0.000], [0.680, 0.180, 0.000], [0.820, 0.680, 0.000], [0.119, 0.619, 0.500], [0.381, 0.119, 0.500], [0.619, 0.881, 0.500], [0.881, 0.381, 0.500], [0.000, 0.000, 0.000], [0.500, 0.500, 0.000]]
}

Record 4
{
  "formula": "Hf6SiP2",
  "functional": "GGA-PBE",
  "state": "relaxed",
  "cell": [[5.910, 0.000, 0.000], [0.000, 6.659, 0.000], [-5.265, 0.000, 8.917]],
  "species": ["Hf", "Hf", "Hf", "Hf", "Hf", "Hf", "Hf", "Hf", "Hf", "Hf", "Hf", "Hf", "Si", "Si", "P", "P", "P", "P"],
  "fractional_positions": [[0.080, 0.048, 0.263], [0.080, 0.452, 0.763], [0.228, 0.656, 0.064], [0.228, 0.844, 0.564], [0.418, 0.196, 0.058], [0.418, 0.304, 0.558], [0.582, 0.696, 0.442], [0.582, 0.804, 0.942], [0.772, 0.156, 0.436], [0.772, 0.344, 0.936], [0.920, 0.548, 0.237], [0.920, 0.952, 0.737], [0.000, 0.000, 0.000], [0.000, 0.500, 0.500], [0.344, 0.127, 0.773], [0.344, 0.373, 0.273], [0.656, 0.627, 0.727], [0.656, 0.873, 0.227]]
}

Record 5
{
  "formula": "Hf7Si2P2",
  "functional": "GGA-PBE",
  "state": "relaxed",
  "cell": [[-1.751, 7.088, 4.169], [1.751, -7.088, 4.169], [1.751, 7.088, -4.169]],
  "species": ["Hf", "Hf", "Hf", "Hf", "Hf", "Hf", "Hf", "Si", "Si", "P", "P"],
  "fractional_positions": [[0.000, 0.000, 0.000], [0.051, 0.374, 0.677], [0.103, 0.753, 0.350], [0.403, 0.753, 0.650], [0.472, 0.585, 0.887], [0.698, 0.374, 0.323], [0.698, 0.585, 0.113], [0.326, 0.326, 0.000], [0.747, 0.247, 0.500], [0.322, 0.073, 0.249], [0.823, 0.073, 0.751]]
}

Record 6
{
  "formula": "HfSi3P",
  "functional": "GGA-PBE",
  "state": "relaxed",
  "e_above_lowest_polymorph_mev_per_atom": 0,
  "cell": [[4.499, 0.000, 0.000], [0.000, 4.499, 0.000], [0.000, 0.000, 4.499]],
  "species": ["Hf", "Si", "Si", "Si", "P"],
  "fractional_positions": [[0.000, 0.000, 0.000], [0.000, 0.500, 0.500], [0.500, 0.000, 0.500], [0.500, 0.500, 0.000], [0.500, 0.500, 0.500]]
}

| no. | formation energy without anion corrections (eV/atom) |
| --- | --- |
| 1 | -0.0718 |
| 2 | 1.2563 |
| 3 | -0.5909 |
| 4 | -0.6740 |
| 5 | -0.7893 |
| 6 | 0.6587 |